Here is a relaxed structure of TbHo2Au3 from Alexandria. Energies are from PBE-GGA.

```
6
Lattice="3.5740 0.0000 0.0000 0.0000 3.5740 0.0000 0.0000 0.0000 10.8889" Properties=species:S:1:pos:R:3 pbc="T T T"
Tb 0.0000 0.0000 0.0000
Ho 0.0000 0.0000 3.6405
Ho 0.0000 0.0000 7.2484
Au 1.7870 1.7870 1.8515
Au 1.7870 1.7870 5.4445
Au 1.7870 1.7870 9.0374
```

E: -0.1766 hartree per atom
Density of states at the Fermi level: 0.358 states/eV/atom
Space-group type: P4/mmm, No. 123
Spin magnetization: 0.0 μB per cell

Here is a relaxed structure of TbHoAu2 from Alexandria. Energies are from PBE-GGA.

```
16
Lattice="7.2030 0.0000 0.0000 0.0000 7.2030 0.0000 0.0000 0.0000 7.2030" Properties=species:S:1:pos:R:3 pbc="T T T"
Tb 0.0000 0.0000 0.0000
Tb 0.0000 3.6015 3.6015
Tb 3.6015 0.0000 3.6015
Tb 3.6015 3.6015 0.0000
Ho 0.0000 0.0000 3.6015
Ho 0.0000 3.6015 0.0000
Ho 3.6015 0.0000 0.0000
Ho 3.6015 3.6015 3.6015
Au 1.8008 1.8008 1.8008
Au 1.8008 1.8008 5.4023
Au 1.8008 5.4023 1.8008
Au 1.8008 5.4023 5.4023
Au 5.4023 1.8008 1.8008
Au 5.4023 1.8008 5.4023
Au 5.4023 5.4023 1.8008
Au 5.4023 5.4023 5.4023
```

E: -0.1763 hartree per atom
Density of states at the Fermi level: 0.566 states/eV/atom
Space-group type: Fm-3m, No. 225
Spin magnetization: 0.0 μB per cell
Energy above the lowest structure with this stoichiometry: 26 meV per atom

Here is a relaxed structure of Tb3HoAu2 from Alexandria. Energies are from PBE-GGA.

```
12
Lattice="4.9874 0.0000 0.0000 0.0000 8.9956 0.0000 0.0000 0.0000 7.0993" Properties=species:S:1:pos:R:3 pbc="T T T"
Tb 0.0000 0.6647 0.0000
Tb 0.0000 2.9938 2.5630
Tb 0.0000 6.0017 6.1126
Tb 0.0000 8.3309 3.5496
Tb 2.4937 1.5126 4.6957
Tb 2.4937 7.4830 1.1461
Ho 2.4937 3.8380 0.1615
Ho 2.4937 5.1576 3.7111
Au 0.0000 3.1334 5.4751
Au 0.0000 5.8622 1.9255
Au 2.4937 1.3825 1.7815
Au 2.4937 7.6131 5.3311
```

E: -0.1763 hartree per atom
Density of states at the Fermi level: 0.999 states/eV/atom
Space-group type: Pmc2_1, No. 26
Spin magnetization: 0.0 μB per cell
Energy above the lowest structure with this stoichiometry: 0 meV per atom

- Which of these has the lowest density of states at the Fermi level?
  TbHo2Au3

Please write out number 2 again, unchanged.
Here is a relaxed structure of TbHoAu2 from Alexandria. Energies are from PBE-GGA.

```
16
Lattice="7.2030 0.0000 0.0000 0.0000 7.2030 0.0000 0.0000 0.0000 7.2030" Properties=species:S:1:pos:R:3 pbc="T T T"
Tb 0.0000 0.0000 0.0000
Tb 0.0000 3.6015 3.6015
Tb 3.6015 0.0000 3.6015
Tb 3.6015 3.6015 0.0000
Ho 0.0000 0.0000 3.6015
Ho 0.0000 3.6015 0.0000
Ho 3.6015 0.0000 0.0000
Ho 3.6015 3.6015 3.6015
Au 1.8008 1.8008 1.8008
Au 1.8008 1.8008 5.4023
Au 1.8008 5.4023 1.8008
Au 1.8008 5.4023 5.4023
Au 5.4023 1.8008 1.8008
Au 5.4023 1.8008 5.4023
Au 5.4023 5.4023 1.8008
Au 5.4023 5.4023 5.4023
```

E: -0.1763 hartree per atom
Density of states at the Fermi level: 0.566 states/eV/atom
Space-group type: Fm-3m, No. 225
Spin magnetization: 0.0 μB per cell
Energy above the lowest structure with this stoichiometry: 26 meV per atom

- Which value of spin magnetization does entry 1 give?
  0.0 μB per cell

- Number 3 is which compound?
  Tb3HoAu2